RhPbCl2 | PBE | relaxed

Computed properties:
E above lowest polymorph ... 117 meV per atom
DOS(E_F) ... 0.556 states/eV/atom

Unit cell a=7.5565 b=7.5565 c=7.5565 alpha=31.00 beta=31.00 gamma=31.00
With the nearest neighbours (Å) after each atom.
Element x y z (fractional)
Pb  0.4883  0.4883  0.4883  3 Cl 2.94, 3 Rh 3.08
Rh  0.7280  0.7280  0.7280  3 Cl 2.36
Cl  0.0456  0.0456  0.0456  3 Rh 2.36
Cl  0.2381  0.2381  0.2381  3 Pb 2.94



RhPbCl2 | PBE | relaxed

Computed properties:
E above lowest polymorph ... 261 meV per atom
DOS(E_F) ... 0.456 states/eV/atom

Unit cell a=8.6577 b=8.6577 c=8.6577 alpha=23.63 beta=23.63 gamma=23.63
With the nearest neighbours (Å) after each atom.
Element x y z (fractional)
Pb  0.2500  0.2500  0.2500  6 Cl 3.41, 6 Pb 3.55
Rh  0.7500  0.7500  0.7500  6 Cl 2.53
Cl  0.0245  0.0245  0.0245  3 Rh 2.53
Cl  0.4755  0.4755  0.4755  3 Rh 2.53



RhPbCl2 | PBE | relaxed

Computed properties:
E above lowest polymorph ... 448 meV per atom
DOS(E_F) ... 0.638 states/eV/atom

Unit cell a=4.6208 b=4.6208 c=4.0273 alpha=90.00 beta=90.00 gamma=90.00
With the nearest neighbours (Å) after each atom.
Element x y z (fractional)
Pb  0.5000  0.0000  0.5000  8 Cl 3.06, 4 Rh 3.27
Rh  0.0000  0.5000  0.5000  8 Cl 3.06, 4 Pb 3.27
Cl  0.0000  0.0000  0.0000  4 Rh 3.06, 4 Pb 3.06, 4 Cl 3.27
Cl  0.5000  0.5000  0.0000  4 Pb 3.06, 4 Rh 3.06, 4 Cl 3.27



RhPbCl2 | PBE | relaxed

Computed properties:
E above lowest polymorph ... 0 meV per atom
DOS(E_F) ... 0.608 states/eV/atom

Unit cell a=4.2506 b=5.4483 c=5.4510 alpha=52.23 beta=90.00 gamma=90.00
With the nearest neighbours (Å) after each atom.
Element x y z (fractional)
Pb  0.0000  0.5755  0.5753  2 Rh 2.66, 2 Cl 2.86
Rh  0.5000  0.7381  0.7383  2 Cl 2.42, 2 Pb 2.66
Cl  0.0000  0.9157  0.9157  2 Rh 2.74, 2 Pb 2.86
Cl  0.5000  0.2707  0.2708  2 Rh 2.42



RhPbCl2 | PBE | relaxed

Computed properties:
E above lowest polymorph ... 175 meV per atom
DOS(E_F) ... 0.709 states/eV/atom

Unit cell a=7.7279 b=7.7279 c=7.7279 alpha=154.96 beta=149.87 gamma=39.56
With the nearest neighbours (Å) after each atom.
Element x y z (fractional)
Pb  0.4334  0.4334  0.0000  2 Rh 2.85, 4 Cl 3.00
Rh  0.2745  0.7745  0.5000  4 Cl 2.63, 2 Pb 2.85
Cl  0.0343  0.0343  0.0000  4 Pb 3.00, 2 Cl 3.35
Cl  0.7577  0.2577  0.5000  4 Rh 2.63



Rh2PbCl | PBE | relaxed

Computed properties:
E above lowest polymorph ... 116 meV per atom
DOS(E_F) ... 1.267 states/eV/atom

Unit cell a=5.3406 b=5.3406 c=4.5843 alpha=86.07 beta=86.07 gamma=35.02
With the nearest neighbours (Å) after each atom.
Element x y z (fractional)
Cl  0.5136  0.5136  0.5782  3 Rh 2.35-2.44
Pb  0.2695  0.2695  0.2126  6 Rh 2.79-2.89, 1 Cl 3.10
Rh  0.9880  0.9880  0.9791  2 Cl 2.44
Rh  0.7289  0.7289  0.7301  1 Cl 2.35



RhPbCl2 | PBE | relaxed

Computed properties:
E above lowest polymorph ... 521 meV per atom
DOS(E_F) ... 1.438 states/eV/atom

Unit cell a=4.9210 b=4.9210 c=4.9210 alpha=60.00 beta=60.00 gamma=60.00
With the nearest neighbours (Å) after each atom.
Element x y z (fractional)
Pb  0.5000  0.5000  0.5000  4 Cl 3.01, 4 Rh 3.01
Rh  0.7500  0.7500  0.7500  4 Cl 3.01, 4 Pb 3.01
Cl  0.0000  0.0000  0.0000  4 Cl 3.01, 4 Rh 3.01
Cl  0.2500  0.2500  0.2500  4 Cl 3.01, 4 Pb 3.01



Rh2PbCl | PBE | relaxed

Computed properties:
E above lowest polymorph ... 292 meV per atom
DOS(E_F) ... 1.422 states/eV/atom

Unit cell a=4.7053 b=4.7053 c=4.7053 alpha=60.00 beta=60.00 gamma=60.00
With the nearest neighbours (Å) after each atom.
Element x y z (fractional)
Cl  0.5000  0.5000  0.5000  4 Pb 2.88, 4 Rh 2.88
Pb  0.7500  0.7500  0.7500  4 Rh 2.88, 4 Cl 2.88
Rh  0.0000  0.0000  0.0000  4 Rh 2.88, 4 Pb 2.88
Rh  0.2500  0.2500  0.2500  4 Cl 2.88, 4 Rh 2.88



Rh2PbCl | PBE | relaxed

Computed properties:
E above lowest polymorph ... 89 meV per atom
DOS(E_F) ... 1.047 states/eV/atom

Unit cell a=6.6003 b=6.6003 c=6.6003 alpha=153.31 beta=144.13 gamma=45.26
With the nearest neighbours (Å) after each atom.
Element x y z (fractional)
Cl  0.4846  0.4846  0.0000  4 Rh 2.55
Pb  0.2070  0.7070  0.5000  6 Rh 2.82-2.93, 2 Pb 3.05
Rh  0.0017  0.0017  0.0000  4 Cl 2.55, 2 Rh 2.82
Rh  0.8068  0.3068  0.5000  4 Pb 2.82, 4 Rh 2.82-3.05, 2 Cl 2.97



RhPbCl2 | PBE | relaxed

Computed properties:
E above lowest polymorph ... 382 meV per atom
DOS(E_F) ... 0.865 states/eV/atom

Unit cell a=3.4093 b=5.6182 c=4.4539 alpha=90.00 beta=90.00 gamma=90.00
With the nearest neighbours (Å) after each atom.
Element x y z (fractional)
Pb  0.5000  0.0000  0.5000  4 Cl 2.80
Rh  0.0000  0.5000  0.5000  4 Cl 2.80
Cl  0.0000  0.0000  0.0000  4 Pb 2.80
Cl  0.5000  0.5000  0.0000  4 Rh 2.80



RhPbCl2 | PBE | relaxed

Computed properties:
E above lowest polymorph ... 85 meV per atom
DOS(E_F) ... 0.517 states/eV/atom

Unit cell a=6.1537 b=6.1537 c=4.9739 alpha=66.16 beta=66.16 gamma=34.14
With the nearest neighbours (Å) after each atom.
Element x y z (fractional)
Pb  0.7500  0.7500  0.7500  4 Cl 3.04, 4 Rh 3.07
Rh  0.2500  0.2500  0.2500  4 Cl 2.52
Cl  0.9142  0.9142  0.0861  2 Rh 2.52
Cl  0.5858  0.5858  0.4139  2 Rh 2.52



Rh2PbCl | PBE | relaxed

Computed properties:
E above lowest polymorph ... 31 meV per atom
DOS(E_F) ... 0.817 states/eV/atom

Unit cell a=3.2932 b=3.7207 c=5.9892 alpha=90.00 beta=90.00 gamma=90.00
With the nearest neighbours (Å) after each atom.
Element x y z (fractional)
Cl  0.0000  0.0000  0.3957  5 Rh 2.32-2.55
Pb  0.5000  0.5000  0.7953  6 Rh 2.79-3.02
Rh  0.0000  0.0000  0.0091  1 Cl 2.32
Rh  0.5000  0.5000  0.2999  4 Cl 2.55



RhPbCl2 | PBE | relaxed

Computed properties:
E above lowest polymorph ... 254 meV per atom
DOS(E_F) ... 0.424 states/eV/atom

Unit cell a=3.5420 b=3.5420 c=8.8074 alpha=90.00 beta=90.00 gamma=122.61
With the nearest neighbours (Å) after each atom.
Element x y z (fractional)
Pb  0.5000  0.5000  0.2500  4 Cl 3.23, 6 Pb 3.40-3.54
Rh  0.5000  0.5000  0.7500  4 Cl 2.38
Cl  0.0000  0.0000  0.9383  2 Rh 2.38
Cl  0.0000  0.0000  0.5617  2 Rh 2.38



Rh4PbCl | PBE | relaxed

Computed properties:
DOS(E_F) ... 1.884 states/eV/atom

Unit cell a=5.3338 b=5.3338 c=5.3338 alpha=60.00 beta=60.00 gamma=60.00
With the nearest neighbours (Å) after each atom.
Element x y z (fractional)
Rh  0.8758  0.3747  0.3747  6 Rh 2.66-2.67
Rh  0.3747  0.3747  0.8758  6 Rh 2.66-2.67
Rh  0.3747  0.8758  0.3747  6 Rh 2.66-2.67
Rh  0.3747  0.3747  0.3747  6 Rh 2.66-2.67
Pb  0.0000  0.0000  0.0000  12 Rh 3.13, 4 Cl 3.27
Cl  0.7500  0.7500  0.7500  12 Rh 3.13, 4 Pb 3.27



Rh2PbCl | PBE | relaxed

Computed properties:
E above lowest polymorph ... 30 meV per atom
DOS(E_F) ... 0.859 states/eV/atom

Unit cell a=3.1137 b=3.1137 c=8.1303 alpha=90.00 beta=90.00 gamma=89.98
With the nearest neighbours (Å) after each atom.
Element x y z (fractional)
Cl  0.0000  0.0000  0.4355  4 Rh 2.75
Pb  0.5000  0.5000  0.7916  4 Rh 2.99, 4 Pb 3.11
Rh  0.0000  0.0000  0.0403  4 Rh 2.70, 4 Pb 2.99
Rh  0.5000  0.5000  0.2326  4 Rh 2.70, 4 Cl 2.75



What ΔE_f (raw) values result from the calculations? In sequence: -0.28, -0.13, 0.05, -0.40, -0.22, 0.25, 0.13, 0.43, 0.22, -0.01, -0.31, 0.17, -0.14, 0.52, 0.16 eV/atom.